[1]
The following is a PBE calculation of Tl2CdRu after structural relaxation, from the Alexandria database.

abc: 7.241 7.241 4.574
angles: 108.31 108.31 24.99
Positions (direct):
Tl  0.000  0.000  0.000
Tl  0.190  0.190  0.686
Cd  0.827  0.827  0.326
Ru  0.505  0.505  0.505

Calculated values
E_tot (eV per cell): -13.74
Symmetry: Cm, No. 8
D(E_F) (states/eV per cell): 4.15
Size of the total moment (μB per cell): 0.00
Distance to the lowest polymorph of the same formula (eV/atom): 0.000
Energy relative to the elements (meV/atom): 296



[2]
The following is a PBE calculation of Tl2CdRu after structural relaxation, from the Alexandria database.

abc: 3.628 3.877 6.083
angles: 90.00 90.00 90.00
Positions (direct):
Tl  0.000  0.000  0.000
Tl  0.500  0.500  0.290
Cd  0.000  0.000  0.543
Ru  0.500  0.500  0.774

Calculated values
E_tot (eV per cell): -13.12
Symmetry: Pmm2, No. 25
D(E_F) (states/eV per cell): 1.79
Size of the total moment (μB per cell): 0.46
Distance to the lowest polymorph of the same formula (eV/atom): 0.154
Energy relative to the elements (meV/atom): 450



[3]
The following is a PBE calculation of TlCd2Ru after structural relaxation, from the Alexandria database.

abc: 10.840 10.840 10.840
angles: 158.41 158.41 30.72
Positions (direct):
Tl  0.000  0.000  0.000
Tl  0.750  0.250  0.500
Cd  0.144  0.625  0.019
Cd  0.375  0.394  0.519
Cd  0.606  0.125  0.981
Cd  0.875  0.856  0.481
Ru  0.250  0.750  0.500
Ru  0.500  0.500  0.000

Calculated values
E_tot (eV per cell): -22.71
Symmetry: I-42d, No. 122
D(E_F) (states/eV per cell): 6.80
Size of the total moment (μB per cell): 0.79
Distance to the lowest polymorph of the same formula (eV/atom): 0.294
Energy relative to the elements (meV/atom): 529



[4]
The following is a PBE calculation of Tl2CdRu after structural relaxation, from the Alexandria database.

abc: 3.603 3.701 6.384
angles: 90.00 90.00 90.00
Positions (direct):
Tl  0.000  0.000  0.232
Tl  0.000  0.000  0.768
Cd  0.500  0.500  0.500
Ru  0.500  0.500  0.000

Calculated values
E_tot (eV per cell): -13.01
Symmetry: Pmmm, No. 47
D(E_F) (states/eV per cell): 2.59
Size of the total moment (μB per cell): 0.42
Distance to the lowest polymorph of the same formula (eV/atom): 0.183
Energy relative to the elements (meV/atom): 479



[5]
The following is a PBE calculation of TlCd2Ru after structural relaxation, from the Alexandria database.

abc: 5.379 5.379 5.379
angles: 134.34 134.34 66.55
Positions (direct):
Tl  0.000  0.000  0.000
Cd  0.250  0.750  0.500
Cd  0.500  0.500  0.000
Ru  0.750  0.250  0.500

Calculated values
E_tot (eV per cell): -12.11
Symmetry: I-4m2, No. 119
D(E_F) (states/eV per cell): 2.75
Size of the total moment (μB per cell): 0.13
Distance to the lowest polymorph of the same formula (eV/atom): 0.107
Energy relative to the elements (meV/atom): 341



[6]
The following is a PBE calculation of TlCd2Ru after structural relaxation, from the Alexandria database.

abc: 10.066 10.066 10.066
angles: 17.91 17.91 17.91
Positions (direct):
Tl  0.000  0.000  0.000
Cd  0.236  0.236  0.236
Cd  0.480  0.480  0.480
Ru  0.741  0.741  0.741

Calculated values
E_tot (eV per cell): -11.87
Symmetry: R3m, No. 160
D(E_F) (states/eV per cell): 3.32
Size of the total moment (μB per cell): 0.18
Distance to the lowest polymorph of the same formula (eV/atom): 0.165
Energy relative to the elements (meV/atom): 399



[7]
The following is a PBE calculation of Tl2CdRu after structural relaxation, from the Alexandria database.

abc: 9.952 9.952 9.952
angles: 18.97 18.97 18.97
Positions (direct):
Tl  0.000  0.000  0.000
Tl  0.235  0.235  0.235
Cd  0.475  0.475  0.475
Ru  0.738  0.738  0.738

Calculated values
E_tot (eV per cell): -13.24
Symmetry: R3m, No. 160
D(E_F) (states/eV per cell): 2.92
Size of the total moment (μB per cell): 0.48
Distance to the lowest polymorph of the same formula (eV/atom): 0.126
Energy relative to the elements (meV/atom): 422



[8]
The following is a PBE calculation of TlCd2Ru after structural relaxation, from the Alexandria database.

abc: 3.596 3.596 6.209
angles: 90.00 90.00 90.00
Positions (direct):
Tl  0.000  0.000  0.000
Cd  0.000  0.000  0.537
Cd  0.500  0.500  0.289
Ru  0.500  0.500  0.771

Calculated values
E_tot (eV per cell): -12.05
Symmetry: P4mm, No. 99
D(E_F) (states/eV per cell): 1.77
Size of the total moment (μB per cell): 0.00
Distance to the lowest polymorph of the same formula (eV/atom): 0.122
Energy relative to the elements (meV/atom): 356